No. 1
The following is a DFT calculation (GGA-PBE) of a geometry-optimized CsScTe2 structure.

Formation energy without anion corrections, eV per atom: -0.980
Space-group type: Pnma, No. 62

Unit cell a=9.045 b=8.023 c=9.022 alpha=90.00 beta=90.00 gamma=90.00
Fractional positions:
Cs (0.012, 0.250, 0.022)
Cs (0.488, 0.750, 0.522)
Cs (0.512, 0.250, 0.478)
Cs (0.988, 0.750, 0.978)
Sc (0.036, 0.250, 0.529)
Sc (0.464, 0.750, 0.029)
Sc (0.536, 0.250, 0.971)
Sc (0.964, 0.750, 0.471)
Te (0.158, 0.507, 0.346)
Te (0.158, 0.993, 0.346)
Te (0.342, 0.007, 0.846)
Te (0.342, 0.493, 0.846)
Te (0.658, 0.507, 0.154)
Te (0.658, 0.993, 0.154)
Te (0.842, 0.007, 0.654)
Te (0.842, 0.493, 0.654)


No. 2
The following is a DFT calculation (GGA-PBE) of a geometry-optimized Ba3Al2Si2 structure.

Formation energy without anion corrections, eV per atom: -0.290
Space-group type: C2/m, No. 12

Unit cell a=6.779 b=6.779 c=7.998 alpha=113.18 beta=113.18 gamma=41.58
Fractional positions:
Ba (0.000, 0.000, 0.000)
Ba (0.176, 0.176, 0.597)
Ba (0.824, 0.824, 0.403)
Al (0.298, 0.298, 0.078)
Al (0.702, 0.702, 0.922)
Si (0.497, 0.497, 0.344)
Si (0.503, 0.503, 0.656)


No. 3
The following is a DFT calculation (GGA-PBE) of a geometry-optimized Sm3Dy2Tm3 structure.

Space-group type: Immm, No. 71
Energy of formation, meV/atom: 22

Unit cell a=10.671 b=10.671 c=10.671 alpha=152.83 beta=152.73 gamma=38.88
Fractional positions:
Sm (0.000, 0.000, 0.000)
Sm (0.376, 0.876, 0.500)
Sm (0.624, 0.124, 0.500)
Dy (0.249, 0.249, 0.000)
Dy (0.751, 0.751, 0.000)
Tm (0.126, 0.626, 0.500)
Tm (0.500, 0.500, 0.000)
Tm (0.874, 0.374, 0.500)


No. 4
The following is a DFT calculation (GGA-PBE) of a geometry-optimized LiBe structure.

Space-group type: I4/mmm, No. 139
Energy of formation, meV/atom: 333

Unit cell a=5.323 b=5.323 c=5.323 alpha=99.01 beta=99.01 gamma=133.39
Fractional positions:
Li (0.000, 0.298, 0.298)
Li (0.000, 0.702, 0.702)
Li (0.298, 0.000, 0.298)
Li (0.702, 0.000, 0.702)
Be (0.345, 0.345, 0.690)
Be (0.345, 0.655, 0.000)
Be (0.655, 0.345, 0.000)
Be (0.655, 0.655, 0.310)


One value per record, in order, for raw total energy: -4.35 -3.73 -4.58 -2.49 eV per atom.
One value per record, in order, for spin magnetization: 0.00 0.00 0.00 0.00 μB/atom.